# 1
An optimized crystal structure of YSn2Ge, computed with PBE.

The structure in POSCAR format:
```
YSn2Ge
1.0
-0.337 2.337 4.161
1.011 -3.797 2.215
4.384 1.036 -0.226
Y Ge Sn
1 1 2
Direct
0.500 0.500 0.500
0.500 0.000 0.000
0.000 0.000 0.500
0.000 0.500 0.000
```

Calculated values
Energy of formation: -0.40 eV per atom
Crystal system: tetragonal

# 2
An optimized crystal structure of Ac3Ni3Sn, computed with PBE.

The structure in POSCAR format:
```
Ac3Ni3Sn
1.0
-2.827 3.203 -0.763
-0.803 -4.533 -3.715
-9.382 -6.041 9.402
Ac Ni Sn
6 6 2
Direct
0.210 0.420 0.896
0.790 0.580 0.104
0.210 0.420 0.604
0.790 0.580 0.396
0.491 0.983 0.750
0.509 0.017 0.250
0.914 0.829 0.900
0.086 0.171 0.100
0.914 0.829 0.600
0.086 0.171 0.400
0.797 0.593 0.750
0.203 0.407 0.250
0.500 0.000 0.000
0.500 0.000 0.500
```

Calculated values
Energy of formation: -0.38 eV per atom
Crystal system: orthorhombic
Polymorph energy (0 for the lowest one): 0 meV/atom

# 3
An optimized crystal structure of Ba2CaErTe4, computed with PBE.

The structure in POSCAR format:
```
Ba2CaErTe4
1.0
-4.194 -1.244 -1.549
3.448 -4.677 -5.583
-1.206 -4.440 6.833
Ba Ca Er Te
2 1 1 4
Direct
0.500 0.000 0.500
0.000 0.500 0.500
0.000 0.000 0.000
0.500 0.500 0.000
0.500 0.246 0.217
0.500 0.754 0.783
0.000 0.268 0.786
0.000 0.732 0.214
```

Calculated values
Crystal system: monoclinic
Energy relative to the elements, uncorrected: -1228 kJ/mol of formula units

# 4
An optimized crystal structure of Tm2CoOs, computed with PBE.

The structure in POSCAR format:
```
Tm2CoOs
1.0
3.195 0.000 0.000
1.597 2.767 0.000
1.597 0.922 9.197
Co Tm Os
1 2 1
Direct
0.000 0.000 0.000
0.090 0.090 0.730
0.910 0.910 0.270
0.500 0.500 0.500
```

Calculated values
Energy of formation: 0.53 eV per atom
Crystal system: trigonal
Polymorph energy (0 for the lowest one): 748 meV/atom

# 5
An optimized crystal structure of SmCd2Pb, computed with PBE.

The structure in POSCAR format:
```
SmCd2Pb
1.0
5.342 0.000 0.000
2.671 4.627 0.000
2.671 1.542 4.362
Pb Sm Cd
1 1 2
Direct
0.500 0.500 0.500
0.000 0.000 0.000
0.250 0.250 0.250
0.750 0.750 0.750
```

Calculated values
Energy of formation: -0.16 eV per atom
Crystal system: cubic
Polymorph energy (0 for the lowest one): 198 meV/atom

# 6
An optimized crystal structure of LiScRh, computed with PBE.

The structure in POSCAR format:
```
LiScRh
1.0
-4.157 2.617 1.341
-4.442 -0.013 -2.489
3.582 -3.101 1.866
Li Rh Sc
1 1 1
Direct
0.018 0.018 0.000
0.665 0.665 0.000
0.317 0.317 0.000
```

Calculated values
Energy of formation: -0.46 eV per atom
Crystal system: tetragonal
Polymorph energy (0 for the lowest one): 0 meV/atom